Below is a geometry-optimized Na2VGa2O6 structure, with properties calculated at the GGA+U level. Values from VASP.

Geometry as Quantum ESPRESSO input:
```
&SYSTEM
  ibrav = 0, nat = 11, ntyp = 4
/
ATOMIC_SPECIES
Na 22.99 Na.upf
V 50.94 V.upf
Ga 69.72 Ga.upf
O 16.00 O.upf
CELL_PARAMETERS angstrom
-0.0111 -1.7080 -4.8459
-1.8987 -2.9376 3.7637
-5.1308 2.2949 -0.7972
ATOMIC_POSITIONS angstrom
Na -3.8345 -1.3804 0.4953
Na -3.2060 -0.9702 -2.3747
V 0.0000 0.0000 0.0000
Ga -6.4000 -0.2329 0.0967
Ga -0.6405 -2.1178 -1.9761
O -4.8033 0.3385 -1.0048
O -5.4597 -1.8115 -2.9694
O -4.1822 0.7214 -3.8998
O -2.2373 -2.6892 -0.8745
O -1.5809 -0.5392 1.0901
O -2.8583 -3.0721 2.0204
```

DOS(E_F): 2.982 states/eV/cell
energy: -0.438 Ry per atom
symmetry: P-31m, No. 162
size of the total moment: 1.000 μB/cell